Version A
# GGA-PBE SmHo2S, optimized geometry
data_SmHo2S
_symmetry_space_group_name_H-M 'R -3 m'
_symmetry_Int_Tables_number 166
_symmetry_space_group_name_Hall '-R 3 2"'
_cell_length_a 3.6416
_cell_length_b 3.6416
_cell_length_c 30.3294
_cell_angle_alpha 90.00
_cell_angle_beta 90.00
_cell_angle_gamma 120.00
loop_
_atom_site_label
_atom_site_type_symbol
_atom_site_fract_x
_atom_site_fract_y
_atom_site_fract_z
_atom_site_occupancy
Sm1 Sm 0.0000 0.0000 0.0000 1
Ho1 Ho 0.0000 0.0000 0.1126 1
S1 S 0.0000 0.0000 0.5000 1
# total moment = 0.0027 μB/atom

Version B
# GGA-PBE SmHo2S, optimized geometry
data_SmHo2S
_symmetry_space_group_name_H-M 'R 3 m'
_symmetry_Int_Tables_number 160
_symmetry_space_group_name_Hall 'R 3 -2"'
_cell_length_a 3.7216
_cell_length_b 3.7216
_cell_length_c 27.8205
_cell_angle_alpha 90.00
_cell_angle_beta 90.00
_cell_angle_gamma 120.00
loop_
_atom_site_label
_atom_site_type_symbol
_atom_site_fract_x
_atom_site_fract_y
_atom_site_fract_z
_atom_site_occupancy
Sm1 Sm 0.0000 0.0000 0.0000 1
Ho1 Ho 0.0000 0.0000 0.2264 1
Ho2 Ho 0.0000 0.0000 0.4395 1
S1 S 0.0000 0.0000 0.8330 1
# total moment = 0.1743 μB/atom

Stability summary - winner: version B; margin: 19.9 kJ/mol of atoms.

Version A
# GGA-PBE SmHo3S4, optimized geometry
data_SmHo3S4
_symmetry_space_group_name_H-M 'C m m m'
_symmetry_Int_Tables_number 65
_symmetry_space_group_name_Hall '-C 2 2'
_cell_length_a 7.9049
_cell_length_b 11.0821
_cell_length_c 3.8778
_cell_angle_alpha 90.00
_cell_angle_beta 90.00
_cell_angle_gamma 90.00
loop_
_atom_site_label
_atom_site_type_symbol
_atom_site_fract_x
_atom_site_fract_y
_atom_site_fract_z
_atom_site_occupancy
Sm1 Sm 0.0000 0.0000 0.0000 1
Ho1 Ho 0.0000 0.5000 0.0000 1
Ho2 Ho 0.2500 0.2500 0.5000 1
S1 S 0.0000 0.2539 0.0000 1
S2 S 0.2420 0.5000 0.5000 1
# total moment = 0.0000 μB/atom

Version B
# GGA-PBE SmHo3S4, optimized geometry
data_SmHo3S4
_symmetry_space_group_name_H-M 'P m -3 m'
_symmetry_Int_Tables_number 221
_symmetry_space_group_name_Hall '-P 4 2 3'
_cell_length_a 5.5408
_cell_length_b 5.5408
_cell_length_c 5.5408
_cell_angle_alpha 90.00
_cell_angle_beta 90.00
_cell_angle_gamma 90.00
loop_
_atom_site_label
_atom_site_type_symbol
_atom_site_fract_x
_atom_site_fract_y
_atom_site_fract_z
_atom_site_occupancy
Sm1 Sm 0.0000 0.0000 0.0000 1
Ho1 Ho 0.0000 0.5000 0.5000 1
S1 S 0.0000 0.0000 0.5000 1
S2 S 0.5000 0.5000 0.5000 1
# total moment = 0.0000 μB/atom

Stability summary - winner: version A; margin: 1.7 kJ/mol of atoms.

Version A
# GGA-PBE SrHoS2, optimized geometry
data_SrHoS2
_symmetry_space_group_name_H-M 'R 3 m'
_symmetry_Int_Tables_number 160
_symmetry_space_group_name_Hall 'R 3 -2"'
_cell_length_a 3.9667
_cell_length_b 3.9667
_cell_length_c 21.1639
_cell_angle_alpha 90.00
_cell_angle_beta 90.00
_cell_angle_gamma 120.00
loop_
_atom_site_label
_atom_site_type_symbol
_atom_site_fract_x
_atom_site_fract_y
_atom_site_fract_z
_atom_site_occupancy
Sr1 Sr 0.0000 0.0000 0.0000 1
Ho1 Ho 0.0000 0.0000 0.8252 1
S1 S 0.0000 0.0000 0.2362 1
S2 S 0.0000 0.0000 0.4205 1
# total moment = 0.0000 μB/atom

Version B
# GGA-PBE SrHoS2, optimized geometry
data_SrHoS2
_symmetry_space_group_name_H-M 'C 1 2/m 1'
_symmetry_Int_Tables_number 12
_cell_length_a 6.9626
_cell_length_b 4.0203
_cell_length_c 7.1477
_cell_angle_alpha 90.00
_cell_angle_beta 108.83
_cell_angle_gamma 90.00
loop_
_symmetry_equiv_pos_as_xyz
'x,y,z'
'-x,-y,-z'
'-x,y,-z'
'x,-y,z'
'x+1/2,y+1/2,z'
'-x+1/2,-y+1/2,-z'
'-x+1/2,y+1/2,-z'
'x+1/2,-y+1/2,z'
loop_
_atom_site_label
_atom_site_type_symbol
_atom_site_fract_x
_atom_site_fract_y
_atom_site_fract_z
_atom_site_occupancy
Sr1 Sr 0.0000 0.0000 0.0000 1
Ho1 Ho 0.0000 0.5000 0.5000 1
S1 S 0.2424 0.0000 0.7272 1
# total moment = 0.0000 μB/atom

Stability summary - winner: version B; margin: 8.0 kJ/mol of atoms.